1.
Compound: NaBeHg2
Source: the Alexandria database
Functional: SCAN
Structure: PBEsol geometry

Its formation energy is 0.16 eV per atom. Its space group is I-42d, No. 122. The calculated density is 6.579 g/cm³. The crystal system is tetragonal. For the size of the total moment, the calculation gives 0.00 μB/atom.

a = 5.403 Å, b = 5.403 Å, c = 8.408 Å
α = 108.74°, β = 108.74°, γ = 90.00°
Fractional coordinates of all 8 atoms:
Hg 0.535 0.875 0.250
Hg 0.715 0.375 0.250
Be 0.500 0.500 0.000
Hg 0.625 0.465 0.750
Hg 0.125 0.285 0.750
Na 0.000 0.000 0.000
Be 0.750 0.250 0.500
Na 0.250 0.750 0.500


2.
Compound: NaBe2SnHg
Source: the Alexandria database
Functional: SCAN
Structure: PBEsol geometry

Its formation energy is 1.45 eV per atom. Its space group is P4/mmm, No. 123. The calculated density is 5.103 g/cm³. The crystal system is tetragonal. For the size of the total moment, the calculation gives 0.00 μB/atom.

a = 4.666 Å, b = 4.666 Å, c = 5.386 Å
α = 90.00°, β = 90.00°, γ = 90.00°
Fractional coordinates of all 5 atoms:
Na 0.000 0.000 0.000
Be 0.000 0.500 0.000
Be 0.500 0.000 0.000
Sn 0.000 0.000 0.500
Hg 0.500 0.500 0.500


3.
Compound: BeNbHg3
Source: the Alexandria database
Functional: SCAN
Structure: PBEsol geometry

Its formation energy is 0.68 eV per atom. Its space group is Pm-3m, No. 221. The calculated density is 12.500 g/cm³. The crystal system is cubic. For the size of the total moment, the calculation gives 0.00 μB/atom.

a = 4.538 Å, b = 4.538 Å, c = 4.538 Å
α = 90.00°, β = 90.00°, γ = 90.00°
Fractional coordinates of all 5 atoms:
Hg 0.500 0.000 0.000
Hg 0.000 0.000 0.500
Hg 0.000 0.500 0.000
Be 0.000 0.000 0.000
Nb 0.500 0.500 0.500


4.
Compound: Be3NbHg
Source: the Alexandria database
Functional: SCAN
Structure: PBEsol geometry

Its formation energy is 0.92 eV per atom. Its space group is Pm-3m, No. 221. The calculated density is 6.964 g/cm³. The crystal system is cubic. For the size of the total moment, the calculation gives 0.18 μB/atom.

a = 4.244 Å, b = 4.244 Å, c = 4.244 Å
α = 90.00°, β = 90.00°, γ = 90.00°
Each line ends with the local moment (μB).
Fractional coordinates of all 5 atoms:
Be 0.000 0.500 0.000  -0.01
Nb 0.500 0.500 0.500  0.75
Be 0.500 0.000 0.000  -0.01
Hg 0.000 0.000 0.000  0.00
Be 0.000 0.000 0.500  -0.01


5.
Compound: BeNiHg2
Source: the Alexandria database
Functional: SCAN
Structure: PBEsol geometry

Its formation energy is 0.22 eV per atom. Its space group is Amm2, No. 38. The calculated density is 12.778 g/cm³. The crystal system is orthorhombic. For the size of the total moment, the calculation gives 0.00 μB/atom.

a = 3.558 Å, b = 3.664 Å, c = 5.001 Å
α = 90.00°, β = 110.84°, γ = 90.00°
Fractional coordinates of all 4 atoms:
Hg 0.401 0.500 0.802
Hg 0.099 0.000 0.199
Be 0.684 0.500 0.368
Ni 0.811 0.000 0.622


6.
Compound: BeNi2Hg
Source: the Alexandria database
Functional: SCAN
Structure: PBEsol geometry

Its formation energy is 0.09 eV per atom. Its space group is P4/mmm, No. 123. The calculated density is 11.200 g/cm³. The crystal system is tetragonal. For the size of the total moment, the calculation gives 0.00 μB/atom.

a = 3.556 Å, b = 3.692 Å, c = 3.692 Å
α = 90.00°, β = 90.00°, γ = 90.00°
Fractional coordinates of all 4 atoms:
Hg 0.500 0.000 0.000
Ni 0.000 0.500 0.000
Ni 0.000 0.000 0.500
Be 0.500 0.500 0.500